a.
Compound: Sc4Ag5
Source: the Alexandria database
Functional: PBE-GGA
Structure: relaxed

Values from the calculation:
Magnetization (μB per cell): 0.0
Symmetry: P6_3/mcm
DOS(E_F) (states/eV per atom): 0.900

Cell and atoms, written as POSCAR:
```
Sc4Ag5
1.0
8.405 0.000 0.000
-4.202 7.279 0.000
0.000 0.000 5.945
Sc Ag
8 10
direct
0.000 0.000 0.000
0.000 0.000 0.500
0.000 0.354 0.250
0.000 0.646 0.750
0.354 0.000 0.250
0.354 0.354 0.750
0.646 0.000 0.750
0.646 0.646 0.250
0.000 0.312 0.750
0.000 0.688 0.250
0.312 0.000 0.750
0.312 0.312 0.250
0.333 0.667 0.000
0.333 0.667 0.500
0.667 0.333 0.000
0.667 0.333 0.500
0.688 0.000 0.250
0.688 0.688 0.750
```



b.
Compound: Sc4Ag5
Source: the Alexandria database
Functional: PBE-GGA
Structure: relaxed

Values from the calculation:
Magnetization (μB per cell): 0.0
Symmetry: I4/mmm
DOS(E_F) (states/eV per atom): 1.080

Cell and atoms, written as POSCAR:
```
Sc4Ag5
1.0
-4.463 4.463 2.287
4.463 -4.463 2.287
4.463 4.463 -2.287
Sc Ag
4 5
direct
0.000 0.323 0.323
0.000 0.677 0.677
0.323 0.000 0.323
0.677 0.000 0.677
0.000 0.000 0.000
0.335 0.335 0.671
0.335 0.665 0.000
0.665 0.335 0.000
0.665 0.665 0.329
```



According to the calculations, the structures order from most to least stable as a, b.



a.
Compound: Sc4Ag3
Source: the Alexandria database
Functional: PBE-GGA
Structure: relaxed

Values from the calculation:
Magnetization (μB per cell): 5.1
Symmetry: I4/mmm
DOS(E_F) (states/eV per atom): 0.893

Cell and atoms, written as POSCAR:
```
Sc4Ag3
1.0
3.499 0.000 0.000
0.000 3.499 0.000
0.000 0.000 24.178
Sc Ag
8 6
direct
0.000 0.000 0.069
0.000 0.000 0.345
0.000 0.000 0.655
0.000 0.000 0.931
0.500 0.500 0.155
0.500 0.500 0.431
0.500 0.500 0.569
0.500 0.500 0.845
0.000 0.000 0.217
0.000 0.000 0.500
0.000 0.000 0.783
0.500 0.500 0.000
0.500 0.500 0.283
0.500 0.500 0.717
```



b.
Compound: Sc4Ag3
Source: the Alexandria database
Functional: PBE-GGA
Structure: relaxed

Values from the calculation:
Magnetization (μB per cell): 0.6
Symmetry: P6/mmm
DOS(E_F) (states/eV per atom): 1.382

Cell and atoms, written as POSCAR:
```
Sc4Ag3
1.0
5.567 0.000 0.000
-2.783 4.821 0.000
0.000 0.000 5.526
Sc Ag
4 3
direct
0.000 0.000 0.244
0.000 0.000 0.756
0.333 0.667 0.000
0.667 0.333 0.000
0.000 0.500 0.500
0.500 0.000 0.500
0.500 0.500 0.500
```



According to the calculations, the structures order from most to least stable as a, b.



a.
Compound: Sc5Ag3
Source: the Alexandria database
Functional: PBE-GGA
Structure: relaxed

Values from the calculation:
Magnetization (μB per cell): 0.0
Symmetry: P6_3/mcm
DOS(E_F) (states/eV per atom): 1.470

Cell and atoms, written as POSCAR:
```
Sc5Ag3
1.0
8.420 0.000 0.000
-4.210 7.292 0.000
0.000 0.000 5.627
Sc Ag
10 6
direct
0.000 0.236 0.250
0.000 0.764 0.750
0.236 0.000 0.250
0.236 0.236 0.750
0.333 0.667 0.000
0.333 0.667 0.500
0.667 0.333 0.000
0.667 0.333 0.500
0.764 0.000 0.750
0.764 0.764 0.250
0.000 0.401 0.750
0.000 0.599 0.250
0.401 0.000 0.750
0.401 0.401 0.250
0.599 0.000 0.250
0.599 0.599 0.750
```



b.
Compound: Sc5Ag3
Source: the Alexandria database
Functional: PBE-GGA
Structure: relaxed

Values from the calculation:
Magnetization (μB per cell): 2.2
Symmetry: P4/mmm
DOS(E_F) (states/eV per atom): 0.921

Cell and atoms, written as POSCAR:
```
Sc5Ag3
1.0
3.382 0.000 0.000
0.000 3.382 0.000
0.000 0.000 15.039
Sc Ag
5 3
direct
0.000 0.000 0.000
0.000 0.000 0.234
0.000 0.000 0.766
0.500 0.500 0.382
0.500 0.500 0.618
0.000 0.000 0.500
0.500 0.500 0.117
0.500 0.500 0.883
```



c.
Compound: Sc5Ag3
Source: the Alexandria database
Functional: PBE-GGA
Structure: relaxed

Values from the calculation:
Magnetization (μB per cell): 1.3
Symmetry: Cmmm
DOS(E_F) (states/eV per atom): 1.145

Cell and atoms, written as POSCAR:
```
Sc5Ag3
1.0
7.141 0.000 0.000
0.000 9.790 0.000
0.000 0.000 4.866
Sc Ag
10 6
direct
0.000 0.000 0.000
0.227 0.500 0.500
0.250 0.250 0.000
0.250 0.750 0.000
0.273 0.000 0.500
0.500 0.500 0.000
0.727 0.000 0.500
0.750 0.250 0.000
0.750 0.750 0.000
0.773 0.500 0.500
0.000 0.223 0.500
0.000 0.500 0.000
0.000 0.777 0.500
0.500 0.000 0.000
0.500 0.277 0.500
0.500 0.723 0.500
```



According to the calculations, the structures order from most to least stable as b, a, c.



a.
Compound: ScAg5Se4
Source: the Alexandria database
Functional: PBE-GGA
Structure: relaxed

Values from the calculation:
Magnetization (μB per cell): 0.0
Symmetry: Immm
DOS(E_F) (states/eV per atom): 0.081

Cell and atoms, written as POSCAR:
```
ScAg5Se4
1.0
-2.057 3.823 7.357
2.057 -3.823 7.357
2.057 3.823 -7.357
Sc Ag Se
1 5 4
direct
0.000 0.000 0.000
0.076 0.319 0.757
0.438 0.681 0.757
0.500 0.000 0.500
0.562 0.319 0.243
0.924 0.681 0.243
0.188 0.188 0.000
0.251 0.500 0.751
0.749 0.500 0.249
0.812 0.812 0.000
```



b.
Compound: ScAg5Se4
Source: the Alexandria database
Functional: PBE-GGA
Structure: relaxed

Values from the calculation:
Magnetization (μB per cell): 0.0
Symmetry: C2/m
DOS(E_F) (states/eV per atom): 0.132

Cell and atoms, written as POSCAR:
```
ScAg5Se4
1.0
8.296 -2.001 0.000
8.296 2.001 0.000
-1.397 0.000 6.529
Sc Ag Se
1 5 4
direct
0.000 0.000 0.000
0.000 0.000 0.500
0.302 0.302 0.910
0.305 0.305 0.353
0.695 0.695 0.647
0.698 0.698 0.090
0.143 0.143 0.316
0.442 0.442 0.212
0.558 0.558 0.788
0.857 0.857 0.684
```



According to the calculations, the structures order from most to least stable as b, a.